1.
Here is FeCuPd2Pt2 after structural relaxation from Alexandria. Energies are from PBE.

Unit cell a=5.0329 b=5.3829 c=6.6645 alpha=90.00 beta=97.55 gamma=90.00
With the nearest neighbours (Å) after each atom.
Space group P2_1/m (No. 11)
Asymmetric unit:
Fe  0.2048  0.2500  0.1509 [2 per cell]  4 Pt 2.51-2.70, 1 Cu 2.69, 4 Pd 2.71-2.76
Cu  0.4736  0.7500  0.4939 [2 per cell]  3 Pt 2.50-2.61, 1 Fe 2.69, 2 Cu 2.70, 4 Pd 2.71-2.75
Pd  0.3244  0.0006  0.8130 [4 per cell]  3 Pd 2.69-2.86, 2 Cu 2.71-2.75, 2 Fe 2.71-2.76, 5 Pt 2.78-2.88
Pt  0.0266  0.2500  0.4855 [2 per cell]  2 Cu 2.50-2.54, 1 Fe 2.51, 3 Pt 2.71-2.78
Pt  0.1720  0.7500  0.1438 [2 per cell]  3 Fe 2.54-2.70, 1 Cu 2.61, 4 Pd 2.78-2.85, 1 Pt 2.78

Results
* magnetic moment: 4.24 μB/f.u.
* total DFT energy (no corrections): -5.877 eV/atom
* energy relative to the elements: -38.9 meV/atom

***

2.
Here is Zn2CdAu after structural relaxation from Alexandria. Energies are from PBE.

Unit cell a=7.6208 b=4.6018 c=5.6228 alpha=90.00 beta=131.24 gamma=90.00
With the nearest neighbours (Å) after each atom.
Space group C2/m (No. 12)
Asymmetric unit:
Zn  0.2419  0.0000  0.1919 [4 per cell]  3 Au 2.69-2.80, 2 Cd 2.77, 1 Zn 2.79
Cd  0.0000  0.0000  0.5000 [2 per cell]  6 Zn 2.77-3.01, 2 Au 2.88
Au  0.0000  0.5000  0.0000 [2 per cell]  6 Zn 2.69-2.80, 2 Cd 2.88

Results
* magnetic moment: 0.00 μB/f.u.
* ΔE to the lowest computed polymorph: 33 meV/atom
* total DFT energy (no corrections): -1.747 eV/atom
* energy relative to the elements: -62.0 meV/atom

***

3.
Here is BaSc2Si after structural relaxation from Alexandria. Energies are from PBE.

Unit cell a=5.4259 b=5.4259 c=19.2261 alpha=90.00 beta=90.00 gamma=90.00
With the nearest neighbours (Å) after each atom.
Space group I4_1/amd (No. 141, origin choice 2)
Asymmetric unit:
Ba  0.0000  0.2500  0.3750 [4 per cell]  4 Si 3.84, 8 Sc 3.87
Sc  0.0000  0.0000  0.0000 [8 per cell]  2 Sc 2.71, 2 Si 2.76
Si  0.0000  0.2500  0.8750 [4 per cell]  4 Sc 2.76

Results
* magnetic moment: 1.92 μB/f.u.
* total DFT energy (no corrections): -4.678 eV/atom

***

4.
Here is Si2P after structural relaxation from Alexandria. Energies are from PBE.

Unit cell a=7.1559 b=7.1559 c=7.1559 alpha=90.00 beta=90.00 gamma=90.00
With the nearest neighbours (Å) after each atom.
Space group Fd-3m (No. 227, origin choice 2)
Asymmetric unit:
Si  0.0000  0.0000  0.0000 [16 per cell]  6 Si 2.53
P  0.1250  0.1250  0.6250 [8 per cell]  12 Si 2.97, 4 P 3.10

Results
* magnetic moment: 0.00 μB/f.u.
* ΔE to the lowest computed polymorph: 766 meV/atom
* total DFT energy (no corrections): -4.649 eV/atom